CaLaMnFeO6 | SCAN | PBEsol geometry

Output
- crystal system = monoclinic
- calculated total energy (eV per atom) = -15.4362
- M_tot (μB per formula unit) = 8.0
- E_form (uncorrected) (meV per atom) = -2782

abc: 5.3724 5.3751 9.2994
angles: 90.00 125.30 90.00
Space group Pc (No. 7)
Unique sites:
Ca 0.0000 0.2156 0.0000
La 0.5110 0.2732 0.5000
Mn 0.2576 0.2503 0.7504
Fe 0.7565 0.2505 0.2495
O 0.0061 0.4706 0.2145
O 0.0658 0.2392 0.5024
O 0.4373 0.2572 0.9976
O 0.5090 0.0239 0.2800
O 0.5720 0.4656 0.7856
O 0.9536 0.0286 0.7199


CaLaFeO4 | SCAN | PBEsol geometry

Output
- crystal system = tetragonal
- D(E_F) (states/eV/cell) = 4.7
- calculated total energy (eV per atom) = -16.5255
- M_tot (μB per formula unit) = 4.1
- E_form (uncorrected) (meV per atom) = -2836

abc: 3.7334 3.7334 12.1503
angles: 90.00 90.00 90.00
Space group I4mm (No. 107)
Unique sites:
Ca 0.0000 0.0000 0.0000
La 0.0000 0.0000 0.2828
Fe 0.0000 0.0000 0.6354
O 0.0000 0.0000 0.4702
O 0.0000 0.0000 0.8093
O 0.0000 0.5000 0.1384


CaLaFeSnO6 | SCAN | PBEsol geometry

Output
- crystal system = monoclinic
- calculated total energy (eV per atom) = -16.9692
- M_tot (μB per formula unit) = 1.0
- E_form (uncorrected) (meV per atom) = -2549

abc: 5.4627 5.5421 9.4431
angles: 90.00 124.79 90.00
Space group Pc (No. 7)
Unique sites:
Ca 0.0000 0.2004 0.0000
La 0.5256 0.2890 0.5023
Fe 0.7650 0.2507 0.2512
Sn 0.2658 0.2496 0.7527
O 0.0029 0.4494 0.2041
O 0.0867 0.2245 0.4927
O 0.4324 0.2698 0.0112
O 0.5290 0.0455 0.2948
O 0.6176 0.4642 0.8000
O 0.9218 0.0296 0.7068


CaLaVFeO6 | SCAN | PBEsol geometry

Output
- crystal system = monoclinic
- D(E_F) (states/eV/cell) = 4.5
- calculated total energy (eV per atom) = -15.5035
- M_tot (μB per formula unit) = 4.0
- E_form (uncorrected) (meV per atom) = -2926

abc: 5.3927 5.4530 9.3370
angles: 90.00 125.18 90.00
Space group Pc (No. 7)
Unique sites:
Ca 0.0000 0.2049 0.0000
La 0.4863 0.2817 0.5008
V 0.2424 0.2503 0.7515
Fe 0.7403 0.2510 0.2495
O 0.0684 0.0282 0.2848
O 0.4015 0.4691 0.2094
O 0.4835 0.0401 0.7158
O 0.5596 0.2630 0.9924
O 0.9336 0.2337 0.5071
O 0.9986 0.4518 0.7892


LiCa3Fe | SCAN | PBEsol geometry

Output
- crystal system = cubic
- D(E_F) (states/eV/cell) = 8.0
- calculated total energy (eV per atom) = -9.0657
- energy relative to the elements (eV per atom) = 0.836
- M_tot (μB per formula unit) = 2.7

abc: 5.4933 5.4933 5.4933
angles: 90.00 90.00 90.00
Space group Pm-3m (No. 221)
Unique sites:
Li 0.0000 0.0000 0.0000
Ca 0.0000 0.0000 0.5000
Fe 0.5000 0.5000 0.5000


LiCaFe2 | SCAN | PBEsol geometry

Output
- crystal system = orthorhombic
- D(E_F) (states/eV/cell) = 6.1
- calculated total energy (eV per atom) = -11.5344
- energy relative to the elements (eV per atom) = 0.544
- M_tot (μB per formula unit) = 4.8

abc: 3.0894 4.2318 9.3233
angles: 90.00 90.00 90.00
Space group Immm (No. 71)
Unique sites:
Li 0.0000 0.0000 0.0000
Ca 0.0000 0.0000 0.5000
Fe 0.0000 0.5000 0.2645